VASP calculation (PBE) on a geometry-optimized ZnRe2Si structure.

**Volume**: 57 Å³ per cell
**VASP energy**: -7.69 eV per atom
**Uncorrected formation energy**: 0.2122 eV/atom
**Density of states at the Fermi level**: 3.1 states/eV/cell

Structure (CIF):
```
data_ZnRe2Si
_space_group_name_H-M_alt 'P 1 2/m 1'
_space_group_IT_number 10
_cell_length_a 2.795
_cell_length_b 3.993
_cell_length_c 5.249
_cell_angle_alpha 90.00
_cell_angle_beta 101.29
_cell_angle_gamma 90.00
loop_
_space_group_symop_operation_xyz
'x,y,z'
'-x,-y,-z'
'-x,y,-z'
'x,-y,z'
loop_
_atom_site_label
_atom_site_type_symbol
_atom_site_fract_x
_atom_site_fract_y
_atom_site_fract_z
Zn1 Zn 0.000 0.000 0.000
Re1 Re 0.322 0.500 0.742
Si1 Si 0.500 0.000 0.500
```

VASP calculation (PBE) on a geometry-optimized Zr2ReSi structure.

**Volume**: 144 Å³ per cell
**VASP energy**: -9.02 eV per atom
**Uncorrected formation energy**: -0.2756 eV/atom
**Density of states at the Fermi level**: 6.8 states/eV/cell

Structure (CIF):
```
data_Zr2ReSi
_space_group_name_H-M_alt 'I 4/m m m'
_space_group_IT_number 139
_space_group_name_Hall '-I 4 2'
_cell_length_a 4.427
_cell_length_b 4.427
_cell_length_c 7.344
_cell_angle_alpha 90.00
_cell_angle_beta 90.00
_cell_angle_gamma 90.00
loop_
_atom_site_label
_atom_site_type_symbol
_atom_site_fract_x
_atom_site_fract_y
_atom_site_fract_z
Zr1 Zr 0.000 0.500 0.250
Re1 Re 0.000 0.000 0.000
Si1 Si 0.000 0.000 0.500
```

VASP calculation (PBE) on a geometry-optimized Zr2ReSi structure.

**Volume**: 277 Å³ per cell
**VASP energy**: -8.88 eV per atom
**Uncorrected formation energy**: -0.1398 eV/atom
**Density of states at the Fermi level**: 14.1 states/eV/cell

Structure (CIF):
```
data_Zr2ReSi
_space_group_name_H-M_alt 'F -4 3 m'
_space_group_IT_number 216
_space_group_name_Hall 'F -4 2 3'
_cell_length_a 6.522
_cell_length_b 6.522
_cell_length_c 6.522
_cell_angle_alpha 90.00
_cell_angle_beta 90.00
_cell_angle_gamma 90.00
loop_
_atom_site_label
_atom_site_type_symbol
_atom_site_fract_x
_atom_site_fract_y
_atom_site_fract_z
Zr1 Zr 0.000 0.000 0.000
Zr2 Zr 0.250 0.250 0.250
Re1 Re 0.250 0.250 0.750
Si1 Si 0.000 0.000 0.500
```

VASP calculation (PBE) on a geometry-optimized Zr2ReSi2 structure.

**Volume**: 169 Å³ per cell
**VASP energy**: -8.85 eV per atom
**Uncorrected formation energy**: -0.7763 eV/atom
**Density of states at the Fermi level**: 5.7 states/eV/cell

Structure (CIF):
```
data_Zr2ReSi2
_space_group_name_H-M_alt 'P 4/m b m'
_space_group_IT_number 127
_space_group_name_Hall '-P 4 2ab'
_cell_length_a 6.563
_cell_length_b 6.563
_cell_length_c 3.917
_cell_angle_alpha 90.00
_cell_angle_beta 90.00
_cell_angle_gamma 90.00
loop_
_atom_site_label
_atom_site_type_symbol
_atom_site_fract_x
_atom_site_fract_y
_atom_site_fract_z
Zr1 Zr 0.173 0.327 0.000
Re1 Re 0.000 0.000 0.500
Si1 Si 0.131 0.631 0.500
```

VASP calculation (PBE) on a geometry-optimized Zr2ReSi structure.

**Volume**: 147 Å³ per cell
**VASP energy**: -9.07 eV per atom
**Uncorrected formation energy**: -0.3280 eV/atom
**Density of states at the Fermi level**: 5.6 states/eV/cell

Structure (CIF):
```
data_Zr2ReSi
_space_group_name_H-M_alt 'I m m 2'
_space_group_IT_number 44
_cell_length_a 3.296
_cell_length_b 4.582
_cell_length_c 9.743
_cell_angle_alpha 90.00
_cell_angle_beta 90.00
_cell_angle_gamma 90.00
loop_
_space_group_symop_operation_xyz
'x,y,z'
'-x,-y,z'
'-x,y,z'
'x,-y,z'
'x+1/2,y+1/2,z+1/2'
'-x+1/2,-y+1/2,z+1/2'
'-x+1/2,y+1/2,z+1/2'
'x+1/2,-y+1/2,z+1/2'
loop_
_atom_site_label
_atom_site_type_symbol
_atom_site_fract_x
_atom_site_fract_y
_atom_site_fract_z
Zr1 Zr 0.000 0.000 0.000
Zr2 Zr 0.000 0.500 0.230
Re1 Re 0.000 0.000 0.496
Si1 Si 0.000 0.500 0.794
```

VASP calculation (PBE) on a geometry-optimized ZrRe4Si structure.

**Volume**: 403 Å³ per cell
**VASP energy**: -10.45 eV per atom
**Uncorrected formation energy**: 0.1765 eV/atom
**Density of states at the Fermi level**: 24.9 states/eV/cell

Structure (CIF):
```
data_ZrRe4Si
_space_group_name_H-M_alt 'F -4 3 m'
_space_group_IT_number 216
_space_group_name_Hall 'F -4 2 3'
_cell_length_a 7.386
_cell_length_b 7.386
_cell_length_c 7.386
_cell_angle_alpha 90.00
_cell_angle_beta 90.00
_cell_angle_gamma 90.00
loop_
_atom_site_label
_atom_site_type_symbol
_atom_site_fract_x
_atom_site_fract_y
_atom_site_fract_z
Zr1 Zr 0.000 0.000 0.000
Re1 Re 0.124 0.124 0.624
Si1 Si 0.250 0.250 0.250
```